#1
This record from Alexandria describes a geometry-optimized Y4CoSb structure. The functional is PBE-GGA.

Structure (POSCAR):
```
Y4CoSb
1.0
0.472 -5.863 1.514
5.845 1.164 2.684
-3.779 4.331 6.352
Y Co Sb
8 2 2
Direct
0.557 0.250 0.409
0.443 0.750 0.591
0.596 0.250 0.877
0.404 0.750 0.123
0.987 0.999 0.295
0.013 0.499 0.705
0.987 0.501 0.295
0.013 0.001 0.705
0.261 0.250 0.569
0.739 0.750 0.431
0.204 0.250 0.047
0.796 0.750 0.953
```

crystal system	monoclinic
V	26.68	Å³ per atom
total magnetic moment	0.000	μB/cell
DOS(E_F)	12.319	states/eV per cell
space group	P2_1/m (11)

***

#2
This record from Alexandria describes a geometry-optimized Y4CoSb structure. The functional is PBE-GGA.

Structure (POSCAR):
```
Y4CoSb
1.0
-1.919 -4.751 3.467
-5.958 -1.664 -0.059
-1.704 -5.304 -2.691
Y Co Sb
4 1 1
Direct
0.375 0.874 0.375
0.874 0.375 0.375
0.375 0.375 0.874
0.375 0.375 0.375
0.750 0.750 0.750
0.000 0.000 0.000
```

crystal system	cubic
V	27.90	Å³ per atom
total magnetic moment	1.844	μB/cell
DOS(E_F)	9.898	states/eV per cell
space group	F-43m (216)

***

Short version: #1, #2, most stable first.